1.
Material: BaMnNi2
Method: DFT, GGA-PBEsol
State: relaxed

Computed properties:
VASP energy in eV per atom: -5.833
Formation enthalpy at 0 K in meV/atom: 224

a = 4.0985 Å, b = 4.1008 Å, c = 5.9593 Å
α = 110.05°, β = 90.00°, γ = 119.98°
Closest atoms and distances in Å follow each position.
Positions (direct):
Mn1 0.6806 0.3611 0.0410  6 Ni 2.37-2.43
Ba1 0.4978 0.9955 0.4969  1 Mn 2.98, 1 Ni 3.02
Ni1 0.3155 0.6310 0.9448  3 Ni 2.40, 3 Mn 2.42-2.43
Ni2 0.0062 0.0124 0.0173  3 Mn 2.37, 3 Ni 2.40

=====

2.
Material: Ba2MnO4
Method: DFT, GGA-PBEsol
State: relaxed

Computed properties:
VASP energy in eV per atom: -7.354
Formation energy from raw total energies in eV per atom: -2.35

a = 3.9299 Å, b = 3.9299 Å, c = 7.1262 Å
α = 106.01°, β = 106.01°, γ = 90.00°
Closest atoms and distances in Å follow each position.
Positions (direct):
O1 0.0000 0.5000 0.0000  2 Mn 1.96
Ba1 0.3568 0.3568 0.7136  9 O 2.72-2.78
Ba2 0.6432 0.6432 0.2864  9 O 2.72-2.78
Mn1 0.0000 0.0000 0.0000  6 O 1.91-1.96
O2 0.5000 0.0000 0.0000  2 Mn 1.96
O3 0.8547 0.8547 0.7095  1 Mn 1.91
O4 0.1453 0.1453 0.2905  1 Mn 1.91

=====

3.
Material: BaMn2O8
Method: DFT, GGA-PBEsol
State: relaxed

Computed properties:
VASP energy in eV per atom: -7.385
Formation energy from raw total energies in eV per atom: -1.60

a = 6.9646 Å, b = 6.9646 Å, c = 8.2395 Å
α = 103.46°, β = 103.46°, γ = 116.69°
Closest atoms and distances in Å follow each position.
Positions (direct):
O1 0.1831 0.4242 0.9491  1 Mn 1.59
O2 0.0614 0.0051 0.6692  1 Mn 1.61
O3 0.7660 0.5250 0.9491  1 Mn 1.59
O4 0.4750 0.2340 0.0509  1 Mn 1.59
O5 0.4840 0.2250 0.5509  1 Mn 1.59
O6 0.2551 0.8114 0.1692  1 Mn 1.61
Ba1 0.0000 0.0000 0.0000  12 O 2.82-2.94
O7 0.1886 0.7449 0.8308  1 Mn 1.61
Mn1 0.6979 0.3021 0.0000  4 O 1.59-1.61
O8 0.6422 0.0859 0.8308  1 Mn 1.61
O9 0.7750 0.5160 0.4491  1 Mn 1.59
Mn2 0.3021 0.6979 0.0000  4 O 1.59-1.61
O10 0.5758 0.8169 0.0509  1 Mn 1.59
O11 0.9141 0.3578 0.1692  1 Mn 1.61
O12 0.3359 0.3922 0.3308  1 Mn 1.61
Ba2 0.2500 0.7500 0.5000  12 O 2.82-2.94
Mn3 0.9479 0.0521 0.5000  4 O 1.59-1.61
O13 0.0669 0.3258 0.5509  1 Mn 1.59
O14 0.6078 0.6641 0.6692  1 Mn 1.61
O15 0.6742 0.9331 0.4491  1 Mn 1.59
Mn4 0.5521 0.4479 0.5000  4 O 1.59-1.61
O16 0.9949 0.9386 0.3308  1 Mn 1.61

=====

4.
Material: Ba3Mn2O8
Method: DFT, GGA-PBEsol
State: relaxed

Computed properties:
VASP energy in eV per atom: -7.522
Formation energy from raw total energies in eV per atom: -2.29

a = 5.6806 Å, b = 5.6806 Å, c = 7.8525 Å
α = 68.79°, β = 68.79°, γ = 60.00°
Closest atoms and distances in Å follow each position.
Positions (direct):
O1 0.7272 0.7272 0.3044  1 Mn 1.70
O2 0.2728 0.2728 0.6956  1 Mn 1.70
O3 0.7272 0.2413 0.3044  1 Mn 1.70
Mn1 0.5927 0.5927 0.2220  4 O 1.68-1.70
O4 0.6709 0.6709 0.9872  1 Mn 1.68
Ba1 0.7930 0.7930 0.6209  10 O 2.61-2.89
O5 0.3291 0.3291 0.0128  1 Mn 1.68
Ba2 0.0000 0.0000 0.0000  6 O 2.75
O6 0.2413 0.7272 0.3044  1 Mn 1.70
Mn2 0.4073 0.4073 0.7780  4 O 1.68-1.70
O7 0.7587 0.2728 0.6956  1 Mn 1.70
Ba3 0.2070 0.2070 0.3791  10 O 2.61-2.89
O8 0.2728 0.7587 0.6956  1 Mn 1.70

=====

5.
Material: Ba3MnO5
Method: DFT, GGA-PBEsol
State: relaxed

Computed properties:
VASP energy in eV per atom: -7.088
Formation energy from raw total energies in eV per atom: -2.37

a = 7.1900 Å, b = 7.8157 Å, c = 7.1900 Å
α = 117.39°, β = 90.00°, γ = 117.39°
Closest atoms and distances in Å follow each position.
Positions (direct):
Ba1 0.2500 0.5000 0.2500  10 O 2.97-3.05
Mn1 0.2500 0.5000 0.7500  4 O 1.77
O1 0.9788 0.6967 0.4788  1 Mn 1.77
O2 0.7821 0.3033 0.0212  1 Mn 1.77
O3 0.4788 0.6967 0.7179  1 Mn 1.77
Ba2 0.7500 0.5000 0.7500  10 O 2.97-3.05
O4 0.5000 0.0000 0.5000  6 Ba 2.65-2.97
O5 0.2179 0.6967 0.9788  1 Mn 1.77
Mn2 0.7500 0.5000 0.2500  4 O 1.77
Ba3 0.3239 0.0000 0.8239  8 O 2.65-2.86
O6 0.2821 0.3033 0.7821  1 Mn 1.77
O7 0.0212 0.3033 0.5212  1 Mn 1.77
Ba4 0.8239 0.0000 0.6761  8 O 2.65-2.86
O8 0.0000 0.0000 0.0000  6 Ba 2.65-2.97
Ba5 0.1761 0.0000 0.3239  8 O 2.65-2.86
Ba6 0.6761 0.0000 0.1761  8 O 2.65-2.86
O9 0.7179 0.6967 0.2179  1 Mn 1.77
O10 0.5212 0.3033 0.2821  1 Mn 1.77

=====

6.
Material: BaMn4O8
Method: DFT, GGA-PBEsol
State: relaxed

Computed properties:
VASP energy in eV per atom: -8.239
Formation energy from raw total energies in eV per atom: -1.84

a = 3.0605 Å, b = 6.9392 Å, c = 6.9536 Å
α = 87.04°, β = 77.29°, γ = 77.26°
Closest atoms and distances in Å follow each position.
Positions (direct):
O1 0.8499 0.9556 0.3446  3 Mn 1.93-2.04
O2 0.8340 0.7089 0.6231  3 Mn 1.86-1.93
O3 0.1660 0.2911 0.3769  3 Mn 1.86-1.93
Mn1 0.3492 0.8157 0.4860  6 O 1.86-2.04
Mn2 0.6508 0.1843 0.5140  6 O 1.86-2.04
O4 0.1954 0.6555 0.9537  3 Mn 1.93-2.04
O5 0.1501 0.0444 0.6554  3 Mn 1.93-2.04
O6 0.5429 0.6259 0.2883  3 Mn 1.86-1.93
Mn3 0.8355 0.5130 0.8159  6 O 1.86-2.04
Mn4 0.1645 0.4870 0.1841  6 O 1.86-2.04
O7 0.4571 0.3741 0.7117  3 Mn 1.86-1.93
Ba1 0.5000 0.0000 0.0000  8 O 2.81, 2 Ba 3.06
O8 0.8046 0.3445 0.0463  3 Mn 1.93-2.04

=====

7.
Material: Ba2MnP2O8
Method: DFT, GGA-PBEsol
State: relaxed

Computed properties:
VASP energy in eV per atom: -7.770
Formation energy from raw total energies in eV per atom: -2.57

a = 5.3017 Å, b = 8.9983 Å, c = 16.1920 Å
α = 90.00°, β = 89.70°, γ = 90.00°
Closest atoms and distances in Å follow each position.
Positions (direct):
O1 0.9443 0.3845 0.3335  1 P 1.55
Ba1 0.7026 0.2961 0.4793  7 O 2.68-2.93
Ba2 0.2974 0.7039 0.5207  7 O 2.68-2.93
Mn1 0.2347 0.0192 0.3636  5 O 2.09-2.18
O2 0.8230 0.0321 0.9189  1 P 1.55
Ba3 0.7974 0.7961 0.0207  7 O 2.68-2.93
O3 0.4443 0.1155 0.8335  1 P 1.55
O4 0.1770 0.9679 0.0811  1 P 1.55
Mn2 0.7653 0.9808 0.6364  5 O 2.09-2.18
P1 0.2632 0.8950 0.1629  4 O 1.55-1.56
O5 0.6669 0.5103 0.7373  1 P 1.56
O6 0.7109 0.9035 0.5153  1 P 1.53
O7 0.2891 0.0965 0.4847  1 P 1.53
Ba4 0.2396 0.3444 0.7295  7 O 2.70-2.88
O8 0.8353 0.0601 0.3878  1 P 1.56
O9 0.8592 0.2626 0.8309  1 P 1.56
O10 0.0189 0.2019 0.6008  1 P 1.55
O11 0.5189 0.2981 0.1008  1 P 1.55
P2 0.2387 0.0959 0.5780  4 O 1.53-1.56
O12 0.5183 0.8513 0.3764  1 P 1.56
O13 0.4811 0.7019 0.8992  1 P 1.55
O14 0.3592 0.2374 0.3309  1 P 1.56
O15 0.1647 0.9399 0.6122  1 P 1.56
O16 0.4817 0.1487 0.6236  1 P 1.56
O17 0.9817 0.3513 0.1236  1 P 1.56
Mn3 0.2653 0.5192 0.1364  5 O 2.09-2.18
Ba5 0.7396 0.1556 0.2295  7 O 2.70-2.88
O18 0.9811 0.7981 0.3992  1 P 1.55
P3 0.7368 0.1050 0.8371  4 O 1.55-1.56
P4 0.7387 0.4041 0.0780  4 O 1.53-1.56
O19 0.6647 0.5601 0.1122  1 P 1.56
O20 0.8331 0.0103 0.7627  1 P 1.56
Ba6 0.2026 0.2039 0.9793  7 O 2.68-2.93
O21 0.6408 0.7626 0.6691  1 P 1.56
O22 0.3331 0.4897 0.2627  1 P 1.56
P5 0.7613 0.9041 0.4220  4 O 1.53-1.56
P6 0.2613 0.5959 0.9220  4 O 1.53-1.56
O23 0.3230 0.4679 0.4189  1 P 1.55
O24 0.0557 0.6155 0.6665  1 P 1.55
O25 0.1669 0.9897 0.2373  1 P 1.56
O26 0.3353 0.4399 0.8878  1 P 1.56
O27 0.0183 0.6487 0.8764  1 P 1.56
P7 0.2368 0.3950 0.3371  4 O 1.55-1.56
O28 0.2109 0.5965 0.0153  1 P 1.53
Ba7 0.2604 0.8444 0.7705  7 O 2.70-2.88
Ba8 0.7604 0.6556 0.2705  7 O 2.70-2.88
O29 0.1408 0.7374 0.1691  1 P 1.56
P8 0.7632 0.6050 0.6629  4 O 1.55-1.56
O30 0.6770 0.5321 0.5811  1 P 1.55
O31 0.7891 0.4035 0.9847  1 P 1.53
Mn4 0.7347 0.4808 0.8636  5 O 2.09-2.18
O32 0.5557 0.8845 0.1665  1 P 1.55

=====

8.
Material: BaPrMn2O5
Method: DFT, GGA-PBEsol
State: relaxed

Computed properties:
VASP energy in eV per atom: -8.256
Formation energy from raw total energies in eV per atom: -2.36

a = 3.9292 Å, b = 3.9292 Å, c = 7.5794 Å
α = 90.00°, β = 90.00°, γ = 90.00°
Closest atoms and distances in Å follow each position.
Positions (direct):
Pr1 0.0000 0.0000 0.0000  8 O 2.50
O1 0.5000 0.5000 0.5000  2 Mn 2.00
Mn1 0.5000 0.5000 0.7642  5 O 1.98-2.00
O2 0.0000 0.5000 0.2041  2 Mn 1.98
Mn2 0.5000 0.5000 0.2358  5 O 1.98-2.00
O3 0.0000 0.5000 0.7959  2 Mn 1.98
O4 0.5000 0.0000 0.2041  2 Mn 1.98
Ba1 0.0000 0.0000 0.5000  12 O 2.78-2.98
O5 0.5000 0.0000 0.7959  2 Mn 1.98

=====

9.
Material: Ba2PuMnO6
Method: DFT, GGA-PBEsol
State: relaxed

Computed properties:
VASP energy in eV per atom: -8.680
Formation energy from raw total energies in eV per atom: -2.61

a = 5.7810 Å, b = 5.7810 Å, c = 5.7810 Å
α = 60.00°, β = 60.00°, γ = 60.00°
Closest atoms and distances in Å follow each position.
Positions (direct):
Ba1 0.2500 0.2500 0.2500  12 O 2.89
O1 0.2638 0.2638 0.7362  1 Mn 1.93, 1 Pu 2.16
O2 0.7362 0.2638 0.2638  1 Mn 1.93, 1 Pu 2.16
Ba2 0.7500 0.7500 0.7500  12 O 2.89
Pu1 0.0000 0.0000 0.0000  6 O 2.16
O3 0.7362 0.7362 0.2638  1 Mn 1.93, 1 Pu 2.16
O4 0.2638 0.7362 0.2638  1 Mn 1.93, 1 Pu 2.16
O5 0.2638 0.7362 0.7362  1 Mn 1.93, 1 Pu 2.16
O6 0.7362 0.2638 0.7362  1 Mn 1.93, 1 Pu 2.16
Mn1 0.5000 0.5000 0.5000  6 O 1.93

=====

10.
Material: RbBaMnO4
Method: DFT, GGA-PBEsol
State: relaxed

Computed properties:
VASP energy in eV per atom: -6.942
Formation energy from raw total energies in eV per atom: -2.09

a = 5.8386 Å, b = 7.8667 Å, c = 10.2629 Å
α = 90.00°, β = 90.00°, γ = 90.00°
Closest atoms and distances in Å follow each position.
Positions (direct):
Ba1 0.7500 0.4935 0.1915  7 O 2.71-2.84
O1 0.4892 0.2029 0.1611  1 Mn 1.69
O2 0.7500 0.5156 0.9202  1 Mn 1.69
Mn1 0.7500 0.2305 0.5833  4 O 1.69-1.70
O3 0.5108 0.7971 0.8389  1 Mn 1.69
O4 0.5108 0.2971 0.6611  1 Mn 1.69
Mn2 0.2500 0.7695 0.4167  4 O 1.69-1.70
Rb1 0.7500 0.6549 0.5844  7 O 2.84-3.17
O5 0.0108 0.2029 0.1611  1 Mn 1.69
O6 0.2500 0.9844 0.4202  1 Mn 1.69
O7 0.7500 0.8040 0.0726  1 Mn 1.70
O8 0.9892 0.7971 0.8389  1 Mn 1.69
O9 0.4892 0.7029 0.3389  1 Mn 1.69
O10 0.9892 0.2971 0.6611  1 Mn 1.69
Rb2 0.2500 0.8451 0.0844  7 O 2.84-3.17
O11 0.2500 0.4844 0.0798  1 Mn 1.69
Mn3 0.2500 0.2695 0.0833  4 O 1.69-1.70
Ba2 0.2500 0.0065 0.6915  7 O 2.71-2.84
O12 0.7500 0.0156 0.5798  1 Mn 1.69
Rb3 0.2500 0.3451 0.4156  7 O 2.84-3.17
O13 0.0108 0.7029 0.3389  1 Mn 1.69
Rb4 0.7500 0.1549 0.9156  7 O 2.84-3.17
Ba3 0.7500 0.9935 0.3085  7 O 2.71-2.84
Ba4 0.2500 0.5065 0.8085  7 O 2.71-2.84
Mn4 0.7500 0.7305 0.9167  4 O 1.69-1.70
O14 0.2500 0.6960 0.5726  1 Mn 1.70
O15 0.7500 0.3040 0.4274  1 Mn 1.70
O16 0.2500 0.1960 0.9274  1 Mn 1.70

=====

11.
Material: Ba2Mn2Sb2O
Method: DFT, GGA-PBEsol
State: relaxed

Computed properties:
VASP energy in eV per atom: -6.342
Formation energy from raw total energies in eV per atom: -0.89

a = 4.6675 Å, b = 4.6675 Å, c = 19.6569 Å
α = 90.00°, β = 90.00°, γ = 120.00°
Closest atoms and distances in Å follow each position.
Positions (direct):
Mn1 0.3333 0.6667 0.3507  1 O 1.98
Sb1 0.3333 0.6667 0.8855  3 Mn 2.78
Ba1 0.0000 0.0000 0.2500  3 O 2.69
Mn2 0.3333 0.6667 0.1493  1 O 1.98
Ba2 0.0000 0.0000 0.7500  3 O 2.69
Sb2 0.6667 0.3333 0.1145  3 Mn 2.78
Sb3 0.3333 0.6667 0.6145  3 Mn 2.78
Sb4 0.6667 0.3333 0.3855  3 Mn 2.78
O1 0.6667 0.3333 0.7500  2 Mn 1.98
O2 0.3333 0.6667 0.2500  2 Mn 1.98
Mn3 0.6667 0.3333 0.8507  1 O 1.98
Ba3 0.0000 0.0000 0.0000  6 Sb 3.51
Mn4 0.6667 0.3333 0.6493  1 O 1.98
Ba4 0.0000 0.0000 0.5000  6 Sb 3.51

=====

12.
Material: Ba3MnSb2O9
Method: DFT, GGA-PBEsol
State: relaxed

Computed properties:
VASP energy in eV per atom: -6.962
Formation energy from raw total energies in eV per atom: -2.12

a = 5.8812 Å, b = 5.8812 Å, c = 14.5773 Å
α = 90.30°, β = 90.30°, γ = 119.97°
Closest atoms and distances in Å follow each position.
Positions (direct):
O1 0.3203 0.1523 0.4102  1 Sb 1.96, 1 Mn 2.10
Sb1 0.6737 0.3411 0.1520  6 O 1.96-2.10
O2 0.1523 0.3203 0.9102  1 Sb 1.96, 1 Mn 2.10
O3 0.8476 0.1840 0.0840  1 Sb 1.96, 1 Mn 2.11
Mn1 0.0000 0.0000 0.5000  6 O 2.10-2.11
Sb2 0.6589 0.3263 0.3480  6 O 1.96-2.10
Ba1 0.0012 0.9988 0.7500  12 O 2.84-3.11
O4 0.4835 0.5165 0.7500  2 Sb 2.09
O5 0.8477 0.6797 0.0898  1 Sb 1.96, 1 Mn 2.10
Ba2 0.6718 0.3378 0.5884  12 O 2.88-3.14
Sb3 0.3411 0.6737 0.6520  6 O 1.96-2.10
O6 0.6797 0.8477 0.5898  1 Sb 1.96, 1 Mn 2.10
Ba3 0.3282 0.6622 0.4116  12 O 2.88-3.14
O7 0.4832 0.9652 0.7547  2 Sb 2.08-2.10
O8 0.1843 0.3525 0.5776  1 Sb 1.96, 1 Mn 2.11
O9 0.3525 0.1843 0.0776  1 Sb 1.96, 1 Mn 2.11
O10 0.1524 0.8160 0.9160  1 Sb 1.96, 1 Mn 2.11
Mn2 0.0000 0.0000 0.0000  6 O 2.10-2.11
Ba4 0.6622 0.3282 0.9116  12 O 2.88-3.14
O11 0.1840 0.8476 0.5840  1 Sb 1.96, 1 Mn 2.11
O12 0.5168 0.0348 0.2453  2 Sb 2.08-2.10
O13 0.5165 0.4835 0.2500  2 Sb 2.09
O14 0.0348 0.5168 0.7453  2 Sb 2.08-2.10
Sb4 0.3263 0.6589 0.8480  6 O 1.96-2.10
Ba5 0.3378 0.6718 0.0884  12 O 2.88-3.14
Ba6 0.9988 0.0012 0.2500  12 O 2.84-3.11
O15 0.9652 0.4832 0.2547  2 Sb 2.08-2.10
O16 0.8160 0.1524 0.4160  1 Sb 1.96, 1 Mn 2.11
O17 0.6475 0.8157 0.9224  1 Sb 1.96, 1 Mn 2.11
O18 0.8157 0.6475 0.4224  1 Sb 1.96, 1 Mn 2.11

=====

- Which of these has the lowest VASP energy?
  Ba2PuMnO6

=====

- The highest VASP energy belongs to which entry?
  BaMnNi2

=====

- The highest VASP energy belongs to which entry?
  BaMnNi2